# 1
# K2FeSb, optimized geometry, DFT PBE
data_K2FeSb
_chemical_formula_sum 'K4 Fe2 Sb2'
_symmetry_space_group_name_H-M 'P 1'
_symmetry_Int_Tables_number 1
_cell_length_a 6.1376
_cell_length_b 10.7660
_cell_length_c 3.5946
_cell_angle_alpha 90.00
_cell_angle_beta 90.00
_cell_angle_gamma 90.00
loop_
_symmetry_equiv_pos_as_xyz
'x,y,z'
loop_
_atom_site_label
_atom_site_type_symbol
_atom_site_fract_x
_atom_site_fract_y
_atom_site_fract_z
K1 K 0.2500 0.2500 0.0000
K2 K 0.2500 0.7500 0.0000
K3 K 0.7500 0.2500 0.0000
K4 K 0.7500 0.7500 0.0000
Fe1 Fe 0.0000 0.0000 0.5000
Fe2 Fe 0.5000 0.5000 0.5000
Sb1 Sb 0.0000 0.5000 0.5000
Sb2 Sb 0.5000 0.0000 0.5000
# Energy relative to the elements, uncorrected (eV/f.u.): 2.02

---

# 2
# K2FeSb, optimized geometry, DFT PBE
data_K2FeSb
_chemical_formula_sum 'K6 Fe3 Sb3'
_symmetry_space_group_name_H-M 'P 1'
_symmetry_Int_Tables_number 1
_cell_length_a 3.5167
_cell_length_b 3.5167
_cell_length_c 34.6505
_cell_angle_alpha 90.00
_cell_angle_beta 90.00
_cell_angle_gamma 120.00
loop_
_symmetry_equiv_pos_as_xyz
'x,y,z'
loop_
_atom_site_label
_atom_site_type_symbol
_atom_site_fract_x
_atom_site_fract_y
_atom_site_fract_z
K1 K 0.0000 0.0000 0.2495
K2 K 0.0000 0.0000 0.7505
K3 K 0.3333 0.6667 0.4172
K4 K 0.3333 0.6667 0.9161
K5 K 0.6667 0.3333 0.0839
K6 K 0.6667 0.3333 0.5828
Fe1 Fe 0.0000 0.0000 0.5000
Fe2 Fe 0.3333 0.6667 0.1667
Fe3 Fe 0.6667 0.3333 0.8333
Sb1 Sb 0.0000 0.0000 0.0000
Sb2 Sb 0.3333 0.6667 0.6667
Sb3 Sb 0.6667 0.3333 0.3333
# Energy relative to the elements, uncorrected (eV/f.u.): 2.85

---

# 3
# K2FeSb, optimized geometry, DFT PBE
data_K2FeSb
_chemical_formula_sum 'K4 Fe2 Sb2'
_symmetry_space_group_name_H-M 'P 1'
_symmetry_Int_Tables_number 1
_cell_length_a 7.9363
_cell_length_b 4.5826
_cell_length_c 9.8180
_cell_angle_alpha 90.00
_cell_angle_beta 104.97
_cell_angle_gamma 90.00
loop_
_symmetry_equiv_pos_as_xyz
'x,y,z'
loop_
_atom_site_label
_atom_site_type_symbol
_atom_site_fract_x
_atom_site_fract_y
_atom_site_fract_z
K1 K 0.0000 0.0000 0.0000
K2 K 0.1644 0.0000 0.5162
K3 K 0.5000 0.5000 0.0000
K4 K 0.6644 0.5000 0.5162
Fe1 Fe 0.2489 0.5000 0.2582
Fe2 Fe 0.7489 0.0000 0.2582
Sb1 Sb 0.4155 0.0000 0.2580
Sb2 Sb 0.9155 0.5000 0.2580
# Energy relative to the elements, uncorrected (eV/f.u.): 0.34